Entry 1:
Here is Na3Sm2SbTe6 after structural relaxation from the Alexandria database. Energies are from PBE.

Cell: 7.7866 7.7866 7.9806 Å, 99.36 99.36 120.00°
Last column: nearest neighbours and their distance in Å.
Sites, in units of the cell vectors:
Na: 0.0000 0.0000 0.0000  6 Te 3.26-3.33
Na: 0.3357 0.6643 0.0000  6 Te 3.25-3.34
Na: 0.6643 0.3357 0.0000  6 Te 3.25-3.34
Sm: 0.1668 0.8332 0.5000  6 Te 3.15-3.16
Sm: 0.8332 0.1668 0.5000  6 Te 3.15-3.16
Sb: 0.5000 0.5000 0.5000  6 Te 3.09-3.10
Te: 0.0949 0.4219 0.2658  1 Sb 3.10, 2 Sm 3.16, 3 Na 3.26-3.34
Te: 0.2503 0.2503 0.7322  1 Sb 3.09, 2 Sm 3.15, 3 Na 3.25-3.33
Te: 0.4219 0.0949 0.2658  1 Sb 3.10, 2 Sm 3.16, 3 Na 3.26-3.34
Te: 0.5781 0.9051 0.7342  1 Sb 3.10, 2 Sm 3.16, 3 Na 3.26-3.34
Te: 0.7497 0.7497 0.2678  1 Sb 3.09, 2 Sm 3.15, 3 Na 3.25-3.33
Te: 0.9051 0.5781 0.7342  1 Sb 3.10, 2 Sm 3.16, 3 Na 3.26-3.34

Summary:
- Final energy: -4.06 eV per atom
- Spin magnetization: 0.000 μB/atom
- Calculated volume: 396 Å³ per cell
- D(E_F): 0.00 states/eV per cell
- Crystal system: monoclinic
- Energy relative to the elements, uncorrected: -12.4 eV per formula unit

***

Entry 2:
Here is TlRe2Sb after structural relaxation from the Alexandria database. Energies are from PBE.

Cell: 4.2845 4.2845 19.2844 Å, 90.00 90.00 90.00°
Last column: nearest neighbours and their distance in Å.
Sites, in units of the cell vectors:
Tl: 0.0000 0.0000 0.0000  4 Sb 3.03, 4 Re 3.03
Tl: 0.0000 0.5000 0.2500  4 Sb 3.03, 4 Re 3.03
Tl: 0.5000 0.0000 0.7500  4 Sb 3.03, 4 Re 3.03
Tl: 0.5000 0.5000 0.5000  4 Sb 3.03, 4 Re 3.03
Re: 0.1516 0.2500 0.6250  2 Re 2.51, 2 Sb 2.72
Re: 0.2500 0.6516 0.8750  2 Re 2.51, 2 Sb 2.72
Re: 0.2500 0.8484 0.3750  2 Re 2.51, 2 Sb 2.72
Re: 0.3484 0.2500 0.1250  2 Re 2.51, 2 Sb 2.72
Re: 0.6516 0.7500 0.1250  2 Re 2.51, 2 Sb 2.72
Re: 0.7500 0.1516 0.3750  2 Re 2.51, 2 Sb 2.72
Re: 0.7500 0.3484 0.8750  2 Re 2.51, 2 Sb 2.72
Re: 0.8484 0.7500 0.6250  2 Re 2.51, 2 Sb 2.72
Sb: 0.0000 0.0000 0.5000  4 Re 2.72, 4 Tl 3.03
Sb: 0.0000 0.5000 0.7500  4 Re 2.72, 4 Tl 3.03
Sb: 0.5000 0.0000 0.2500  4 Re 2.72, 4 Tl 3.03
Sb: 0.5000 0.5000 0.0000  4 Re 2.72, 4 Tl 3.03

Summary:
- Final energy: -6.76 eV per atom
- Spin magnetization: 0.000 μB/atom
- Calculated volume: 354 Å³ per cell
- D(E_F): 6.94 states/eV per cell
- Crystal system: tetragonal
- Energy relative to the elements, uncorrected: 4.3 eV per formula unit